(1)
Computed, not measured: crystalline Ag2Bi2Pd at its relaxed geometry at the GGA-PBE level of DFT.

Computed properties:
As for the density of states at the Fermi level: 1.20 states/eV/f.u. The formation energy comes out at 0.08 eV per atom. The energy relative to the lowest polymorph listed for this composition comes out at 0 meV/atom. The space group is P4/mbm, No. 127. The magnetic moment comes out at 0.00 μB per formula unit.

a b c (Å): 7.256 7.256 4.345
angles (deg): 90.00 90.00 90.00
Fractional coordinates of all 10 atoms:
Ag  0.136  0.364  0.000
Ag  0.364  0.864  0.000
Ag  0.636  0.136  0.000
Ag  0.864  0.636  0.000
Bi  0.174  0.674  0.500
Bi  0.326  0.174  0.500
Bi  0.674  0.826  0.500
Bi  0.826  0.326  0.500
Pd  0.000  0.000  0.000
Pd  0.500  0.500  0.000



(2)
Computed, not measured: crystalline KTl2Ag at its relaxed geometry at the GGA-PBE level of DFT.

Computed properties:
As for the density of states at the Fermi level: 1.98 states/eV/f.u. The formation energy comes out at 0.05 eV per atom. The space group is Pm, No. 6. The magnetic moment comes out at 0.00 μB per formula unit.

a b c (Å): 3.598 5.060 6.920
angles (deg): 90.00 104.92 90.00
Fractional coordinates of all 4 atoms:
K  0.000  0.000  0.000
Tl  0.259  0.000  0.531
Tl  0.653  0.500  0.310
Ag  0.379  0.500  0.747



(3)
Computed, not measured: crystalline Ac3Al2Zn2 at its relaxed geometry at the GGA-PBE level of DFT.

Computed properties:
As for the density of states at the Fermi level: 6.01 states/eV/f.u. The formation energy comes out at -0.27 eV per atom. The space group is C2/m, No. 12. The magnetic moment comes out at 0.00 μB per formula unit.

a b c (Å): 6.397 6.397 7.591
angles (deg): 107.89 107.89 44.58
Fractional coordinates of all 7 atoms:
Ac  0.000  0.000  0.000
Ac  0.176  0.176  0.621
Ac  0.824  0.824  0.379
Al  0.481  0.481  0.669
Al  0.519  0.519  0.331
Zn  0.304  0.304  0.072
Zn  0.696  0.696  0.928



(4)
Computed, not measured: crystalline Ac2La2Ir3 at its relaxed geometry at the GGA-PBE level of DFT.

Computed properties:
As for the density of states at the Fermi level: 3.52 states/eV/f.u. The formation energy comes out at -0.63 eV per atom. The space group is C2/m, No. 12. The magnetic moment comes out at 0.00 μB per formula unit.

a b c (Å): 7.809 7.809 6.509
angles (deg): 98.16 98.16 32.65
Fractional coordinates of all 7 atoms:
Ac  0.158  0.158  0.337
Ac  0.842  0.842  0.663
La  0.396  0.396  0.152
La  0.604  0.604  0.848
Ir  0.000  0.000  0.000
Ir  0.233  0.233  0.823
Ir  0.767  0.767  0.177



(5)
Computed, not measured: crystalline CdTc2Cl at its relaxed geometry at the GGA-PBE level of DFT.

Computed properties:
As for the density of states at the Fermi level: 3.42 states/eV/f.u. The energy relative to the lowest polymorph listed for this composition comes out at 553 meV/atom. The space group is Cm, No. 8. The magnetic moment comes out at 0.00 μB per formula unit. The value obtained for the uncorrected formation energy is 540 meV per atom.

a b c (Å): 5.307 5.307 5.347
angles (deg): 112.41 112.41 31.45
Fractional coordinates of all 4 atoms:
Cd  0.000  0.000  0.000
Tc  0.239  0.239  0.602
Tc  0.522  0.522  0.533
Cl  0.803  0.803  0.303



(6)
Computed, not measured: crystalline LaZnS2N at its relaxed geometry at the GGA-PBE level of DFT.

Computed properties:
As for the density of states at the Fermi level: 1.74 states/eV/f.u. The energy relative to the lowest polymorph listed for this composition comes out at 0 meV/atom. The space group is P4/mmm, No. 123. The magnetic moment comes out at 1.69 μB per formula unit. The value obtained for the uncorrected formation energy is -453 meV per atom.

a b c (Å): 4.873 4.873 3.928
angles (deg): 90.00 90.00 90.00
Fractional coordinates of all 5 atoms:
La  0.000  0.000  0.000
Zn  0.500  0.500  0.500
S  0.000  0.500  0.500
S  0.500  0.000  0.500
N  0.500  0.500  0.000



(7)
Computed, not measured: crystalline Li2YFe at its relaxed geometry at the GGA-PBE level of DFT.

Computed properties:
As for the density of states at the Fermi level: 4.59 states/eV/f.u. The formation energy comes out at 0.27 eV per atom. The energy relative to the lowest polymorph listed for this composition comes out at 36 meV/atom. The space group is I4/mmm, No. 139. The magnetic moment comes out at 1.73 μB per formula unit.

a b c (Å): 5.535 5.535 5.535
angles (deg): 138.18 138.18 60.63
Fractional coordinates of all 4 atoms:
Li  0.250  0.750  0.500
Li  0.750  0.250  0.500
Y  0.000  0.000  0.000
Fe  0.500  0.500  0.000



(8)
Computed, not measured: crystalline SrMg2Pb at its relaxed geometry at the GGA-PBE level of DFT.

Computed properties:
As for the density of states at the Fermi level: 2.05 states/eV/f.u. The formation energy comes out at -0.10 eV per atom. The space group is Cm, No. 8. The magnetic moment comes out at 0.00 μB per formula unit.

a b c (Å): 5.251 5.251 6.904
angles (deg): 99.49 99.49 42.04
Fractional coordinates of all 4 atoms:
Sr  0.000  0.000  0.000
Mg  0.239  0.239  0.678
Mg  0.496  0.496  0.502
Pb  0.756  0.756  0.295